--- A ---
{
  "formula": "NaLuPtPb",
  "functional": "PBE-GGA",
  "state": "relaxed",
  "cell": [[0.000, 3.465, 3.465], [3.465, 0.000, 3.465], [3.465, 3.465, 0.000]],
  "species": ["Na", "Lu", "Pt", "Pb"],
  "fractional_positions": [[0.000, 0.000, 0.000], [0.250, 0.250, 0.250], [0.500, 0.500, 0.500], [0.750, 0.750, 0.750]],
  "crystal_system": "cubic",
  "m_tot_mub_per_fu": 0.000
}



--- B ---
{
  "formula": "NaLuPtPb",
  "functional": "PBE-GGA",
  "state": "relaxed",
  "cell": [[0.000, 3.541, 3.541], [3.541, 0.000, 3.541], [3.541, 3.541, 0.000]],
  "species": ["Na", "Lu", "Pt", "Pb"],
  "fractional_positions": [[0.000, 0.000, 0.000], [0.500, 0.500, 0.500], [0.250, 0.250, 0.250], [0.750, 0.750, 0.750]],
  "crystal_system": "cubic",
  "m_tot_mub_per_fu": 0.000
}



Which structure is the most stable? The one labeled A.



--- A ---
{
  "formula": "NaLuPdSe3",
  "functional": "PBE-GGA",
  "state": "relaxed",
  "cell": [[1.985, -7.283, 0.000], [1.985, 7.283, 0.000], [0.000, 0.000, 9.946]],
  "species": ["Na", "Na", "Lu", "Lu", "Pd", "Pd", "Se", "Se", "Se", "Se", "Se", "Se"],
  "fractional_positions": [[0.231, 0.769, 0.750], [0.769, 0.231, 0.250], [0.000, 0.000, 0.000], [0.000, 0.000, 0.500], [0.492, 0.508, 0.250], [0.508, 0.492, 0.750], [0.101, 0.899, 0.250], [0.371, 0.629, 0.072], [0.371, 0.629, 0.428], [0.629, 0.371, 0.572], [0.629, 0.371, 0.928], [0.899, 0.101, 0.750]],
  "crystal_system": "orthorhombic",
  "m_tot_mub_per_fu": 0.002
}



--- B ---
{
  "formula": "NaLuPdSe3",
  "functional": "PBE-GGA",
  "state": "relaxed",
  "cell": [[8.116, 0.000, 0.000], [0.000, 3.981, 0.000], [-2.181, 0.000, 9.074]],
  "species": ["Na", "Na", "Lu", "Lu", "Pd", "Pd", "Se", "Se", "Se", "Se", "Se", "Se"],
  "fractional_positions": [[0.203, 0.250, 0.241], [0.797, 0.750, 0.759], [0.324, 0.750, 0.852], [0.676, 0.250, 0.148], [0.097, 0.250, 0.579], [0.903, 0.750, 0.421], [0.081, 0.250, 0.853], [0.258, 0.750, 0.537], [0.435, 0.750, 0.158], [0.565, 0.250, 0.842], [0.742, 0.250, 0.463], [0.919, 0.750, 0.147]],
  "crystal_system": "monoclinic",
  "m_tot_mub_per_fu": 0.001
}



Which structure is the most stable? The one labeled B.



--- A ---
{
  "formula": "NaLuZrPd",
  "functional": "PBE-GGA",
  "state": "relaxed",
  "cell": [[0.000, 3.495, 3.495], [3.495, 0.000, 3.495], [3.495, 3.495, 0.000]],
  "species": ["Na", "Lu", "Zr", "Pd"],
  "fractional_positions": [[0.000, 0.000, 0.000], [0.250, 0.250, 0.250], [0.750, 0.750, 0.750], [0.500, 0.500, 0.500]],
  "crystal_system": "cubic",
  "m_tot_mub_per_fu": 0.006
}



--- B ---
{
  "formula": "NaLuZrPd",
  "functional": "PBE-GGA",
  "state": "relaxed",
  "cell": [[0.000, 3.485, 3.485], [3.485, 0.000, 3.485], [3.485, 3.485, 0.000]],
  "species": ["Na", "Lu", "Zr", "Pd"],
  "fractional_positions": [[0.000, 0.000, 0.000], [0.750, 0.750, 0.750], [0.500, 0.500, 0.500], [0.250, 0.250, 0.250]],
  "crystal_system": "cubic",
  "m_tot_mub_per_fu": 0.004
}



Which structure is the most stable? The one labeled A.



--- A ---
{
  "formula": "NaLuPt",
  "functional": "PBE-GGA",
  "state": "relaxed",
  "cell": [[0.000, 3.310, 3.310], [3.310, 0.000, 3.310], [3.310, 3.310, 0.000]],
  "species": ["Na", "Lu", "Pt"],
  "fractional_positions": [[0.000, 0.000, 0.000], [0.500, 0.500, 0.500], [0.750, 0.750, 0.750]],
  "crystal_system": "cubic",
  "m_tot_mub_per_fu": 0.001
}



--- B ---
{
  "formula": "NaLuPt",
  "functional": "PBE-GGA",
  "state": "relaxed",
  "cell": [[0.000, 3.306, 3.306], [3.306, 0.000, 3.306], [3.306, 3.306, 0.000]],
  "species": ["Na", "Lu", "Pt"],
  "fractional_positions": [[0.000, 0.000, 0.000], [0.250, 0.250, 0.250], [0.500, 0.500, 0.500]],
  "crystal_system": "cubic",
  "m_tot_mub_per_fu": 0.002
}



Which structure is the most stable? The one labeled A.



--- A ---
{
  "formula": "NaLuSnPt",
  "functional": "PBE-GGA",
  "state": "relaxed",
  "cell": [[0.000, 3.504, 3.504], [3.504, 0.000, 3.504], [3.504, 3.504, 0.000]],
  "species": ["Na", "Lu", "Sn", "Pt"],
  "fractional_positions": [[0.000, 0.000, 0.000], [0.500, 0.500, 0.500], [0.750, 0.750, 0.750], [0.250, 0.250, 0.250]],
  "crystal_system": "cubic",
  "m_tot_mub_per_fu": 0.000
}



--- B ---
{
  "formula": "NaLuSnPt",
  "functional": "PBE-GGA",
  "state": "relaxed",
  "cell": [[0.000, 3.408, 3.408], [3.408, 0.000, 3.408], [3.408, 3.408, 0.000]],
  "species": ["Na", "Lu", "Sn", "Pt"],
  "fractional_positions": [[0.000, 0.000, 0.000], [0.250, 0.250, 0.250], [0.750, 0.750, 0.750], [0.500, 0.500, 0.500]],
  "crystal_system": "cubic",
  "m_tot_mub_per_fu": 0.000
}



Which structure is the most stable? The one labeled B.



--- A ---
{
  "formula": "NaLuZrPt",
  "functional": "PBE-GGA",
  "state": "relaxed",
  "cell": [[0.000, 3.446, 3.446], [3.446, 0.000, 3.446], [3.446, 3.446, 0.000]],
  "species": ["Na", "Lu", "Zr", "Pt"],
  "fractional_positions": [[0.000, 0.000, 0.000], [0.750, 0.750, 0.750], [0.500, 0.500, 0.500], [0.250, 0.250, 0.250]],
  "crystal_system": "cubic",
  "m_tot_mub_per_fu": 0.000
}



--- B ---
{
  "formula": "NaLuZrPt",
  "functional": "PBE-GGA",
  "state": "relaxed",
  "cell": [[0.000, 3.464, 3.464], [3.464, 0.000, 3.464], [3.464, 3.464, 0.000]],
  "species": ["Na", "Lu", "Zr", "Pt"],
  "fractional_positions": [[0.000, 0.000, 0.000], [0.250, 0.250, 0.250], [0.750, 0.750, 0.750], [0.500, 0.500, 0.500]],
  "crystal_system": "cubic",
  "m_tot_mub_per_fu": 0.000
}



Which structure is the most stable? The one labeled B.